# LaThAu4

A relaxed LaThAu4 crystal (PBE, the Alexandria database).

Unit cell a=3.9235 b=3.9235 c=9.3392 alpha=90.00 beta=90.00 gamma=90.00
Fractional coordinates of all 6 atoms:
La 0.0000 0.0000 0.0000
Th 0.5000 0.5000 0.5000
Au 0.0000 0.0000 0.3369
Au 0.0000 0.0000 0.6631
Au 0.5000 0.5000 0.1682
Au 0.5000 0.5000 0.8318

As for the formation enthalpy at 0 K: -720 meV per atom. For the volume, the calculation gives 143.77 Å³ per cell. The calculation puts the relative energy among the computed polymorphs at 35 meV per atom.

=====

# Tb3MgCl

A relaxed Tb3MgCl crystal (PBE, the Alexandria database).

Unit cell a=5.2147 b=5.2147 c=5.2147 alpha=90.00 beta=90.00 gamma=90.00
Fractional coordinates of all 5 atoms:
Tb 0.0000 0.0000 0.5000
Tb 0.0000 0.5000 0.0000
Tb 0.5000 0.0000 0.0000
Mg 0.5000 0.5000 0.5000
Cl 0.0000 0.0000 0.0000

For the volume, the calculation gives 141.81 Å³ per cell.

=====

DFT total energy? In order: -29.78 -19.41 eV for the cell shown.